1.
Computed, not measured: a geometry-optimized ErZrOsAu structure at the GGA-PBE level of DFT.

Cell: 6.827 6.827 6.827 Å, 90.00 90.00 90.00°
Space group F-43m (No. 216)
One atom of each set of equivalent atoms:
Er (0.000, 0.000, 0.000)
Zr (0.000, 0.000, 0.500)
Os (0.250, 0.250, 0.750)
Au (0.250, 0.250, 0.250)

Computed properties:
energy relative to the elements = -42.5 kJ per mole of atoms
total moment = 0.00 μB per cell


2.
Computed, not measured: a geometry-optimized Ba2VCoMo structure at the GGA-PBE level of DFT.

Cell: 6.233 6.233 4.430 Å, 90.00 90.00 90.00°
Space group P4/mmm (No. 123)
One atom of each set of equivalent atoms:
Ba (0.000, 0.500, 0.000)
V (0.000, 0.000, 0.500)
Co (0.500, 0.500, 0.500)
Mo (0.000, 0.000, 0.000)

Computed properties:
energy relative to the elements = 128.5 kJ per mole of atoms
total moment = 2.75 μB per cell


3.
Computed, not measured: a geometry-optimized B2C structure at the GGA-PBE level of DFT.

Cell: 2.7315 2.7315 13.5651 Å, 90.00 90.00 120.00°
Space group P3m1 (No. 156)
One atom of each set of equivalent atoms:
B (0.0000, 0.0000, 0.0000)
B (0.0000, 0.0000, 0.1196)
B (0.0000, 0.0000, 0.3974)
B (0.0000, 0.0000, 0.6301)
B (0.3333, 0.6667, 0.0814)
B (0.3333, 0.6667, 0.2192)
B (0.3333, 0.6667, 0.7650)
B (0.6667, 0.3333, 0.9220)
C (0.3333, 0.6667, 0.6397)
C (0.6667, 0.3333, 0.2668)
C (0.6667, 0.3333, 0.3822)
C (0.6667, 0.3333, 0.8105)

Computed properties:
offset from the most stable computed form = 271 meV per atom
energy relative to the elements = 44.0 kJ per mole of atoms
total moment = 0.00 μB per cell


4.
Computed, not measured: a geometry-optimized BaAu4F12 structure at the GGA-PBE level of DFT.

Cell: 8.680 8.680 8.680 Å, 90.00 90.00 90.00°
Space group Im-3m (No. 229)
One atom of each set of equivalent atoms:
Ba (0.000, 0.000, 0.000)
Au (0.250, 0.250, 0.250)
F (0.000, 0.234, 0.234)

Computed properties:
E_form (uncorrected) = -138.3 kJ per mole of atoms
total moment = 0.00 μB per cell


5.
Computed, not measured: a geometry-optimized FeRu2 structure at the GGA-PBE level of DFT.

Cell: 5.645 5.645 5.645 Å, 90.00 90.00 90.00°
Space group Pa-3 (No. 205)
One atom of each set of equivalent atoms:
Fe (0.000, 0.000, 0.000)
Ru (0.120, 0.620, 0.880)

Computed properties:
energy relative to the elements = 86.4 kJ per mole of atoms
total moment = 2.73 μB per cell


6.
Computed, not measured: a geometry-optimized U3PbS6 structure at the GGA-PBE level of DFT.

Cell: 11.132 4.013 11.624 Å, 90.00 107.65 90.00°
Space group P2_1/m (No. 11)
One atom of each set of equivalent atoms:
U (0.052, 0.250, 0.164)
U (0.177, 0.750, 0.500)
U (0.344, 0.250, 0.913)
Pb (0.458, 0.250, 0.319)
S (0.014, 0.250, 0.385)
S (0.110, 0.250, 0.950)
S (0.213, 0.750, 0.268)
S (0.295, 0.750, 0.751)
S (0.365, 0.250, 0.529)
S (0.412, 0.750, 0.079)

Computed properties:
E_form (uncorrected) = -113.2 kJ per mole of atoms
total moment = 5.19 μB per cell


7.
Computed, not measured: a geometry-optimized AcTb4NdSe8 structure at the GGA-PBE level of DFT.

Cell: 8.5813 8.5813 21.2415 Å, 90.00 90.00 120.00°
Space group R3m (No. 160, hexagonal axes)
One atom of each set of equivalent atoms:
Ac (0.0000, 0.0000, 0.0000)
Tb (0.0000, 0.0000, 0.2523)
Tb (0.0068, 0.5034, 0.1272)
Nd (0.0000, 0.0000, 0.6234)
Se (0.0000, 0.0000, 0.3834)
Se (0.0000, 0.0000, 0.8610)
Se (0.0342, 0.5171, 0.3835)
Se (0.1719, 0.3439, 0.2047)

Computed properties:
E_form (uncorrected) = -166.9 kJ per mole of atoms
total moment = 0.03 μB per cell


8.
Computed, not measured: a geometry-optimized Co4ReOs structure at the GGA-PBE level of DFT.

Cell: 6.525 6.525 6.525 Å, 90.00 90.00 90.00°
Space group F-43m (No. 216)
One atom of each set of equivalent atoms:
Co (0.125, 0.125, 0.125)
Re (0.000, 0.000, 0.500)
Os (0.250, 0.250, 0.750)

Computed properties:
energy relative to the elements = 11.7 kJ per mole of atoms
total moment = 5.31 μB per cell